A crystal of HgWCl2 relaxed with PBEsol. Source: the Alexandria database, functional meta-GGA SCAN.

Values from the calculation:
SG: Imm2, No. 44
excess energy over the best structure of this formula in the dataset: 12.6 kJ per mole of atoms
size of the total moment: 0.00 Bohr magnetons per cell
N(E_F): 2.78 states/eV/cell

abc: 2.9133 4.3406 7.2317
angles: 107.46 101.62 90.00
With the nearest neighbours (Å) after each atom.
Fractional coordinates of all 4 atoms:
Hg (0.5798, 0.5798, 0.1595)  2 W 2.91, 2 Hg 2.91, 2 Cl 3.11
Cl (0.9082, 0.9082, 0.8164)  2 W 2.40
Cl (0.7454, 0.2454, 0.4908)  4 W 2.63, 2 Cl 2.91
W (0.2667, 0.7667, 0.5333)  6 Cl 2.40-2.63